# Pa2BiSb | Alexandria via LeMat-Bulk | PBE | relaxed
# Formation energy without anion corrections in eV/f.u.: -1.077
# Energy relative to the lowest polymorph listed for this composition in meV per atom: 0
# Calculated total energy in eV/cell: -28.1
data_Pa2BiSb
_cell_length_a 3.773
_cell_length_b 3.773
_cell_length_c 7.569
_cell_angle_alpha 90.00
_cell_angle_beta 90.00
_cell_angle_gamma 90.00
_space_group_name_H-M_alt 'P 1'
_space_group_IT_number 1
loop_
_space_group_symop_operation_xyz
'x,y,z'
loop_
_atom_site_label
_atom_site_type_symbol
_atom_site_fract_x
_atom_site_fract_y
_atom_site_fract_z
Pa1 Pa 0.000 0.000 0.242
Pa2 Pa 0.000 0.000 0.758
Bi1 Bi 0.500 0.500 0.500
Sb1 Sb 0.500 0.500 0.000